--- w ---
Compound: SmErGaSn
Source: the Alexandria database
Functional: PBE
Structure: optimized geometry

Computed properties:
Total magnetic moment, μB/cell: 0.00
Density of states at the Fermi level, states/eV/f.u.: 2.87

a b c (Å): 5.2499 5.2499 5.2499
angles (deg): 60.00 60.00 60.00
Last column: nearest neighbours and their distance in Å.
Fractional coordinates of all 4 atoms:
Ga (0.0000, 0.0000, 0.0000)  4 Er 3.21, 4 Sm 3.21
Sn (0.5000, 0.5000, 0.5000)  4 Er 3.21, 4 Sm 3.21
Sm (0.2500, 0.2500, 0.2500)  4 Sn 3.21, 4 Ga 3.21
Er (0.7500, 0.7500, 0.7500)  4 Sn 3.21, 4 Ga 3.21

--- x ---
Compound: SmErGaSn
Source: the Alexandria database
Functional: PBE
Structure: optimized geometry

Computed properties:
Total magnetic moment, μB/cell: 0.00
Density of states at the Fermi level, states/eV/f.u.: 3.63

a b c (Å): 4.4934 4.1776 6.0448
angles (deg): 90.00 111.82 90.00
Last column: nearest neighbours and their distance in Å.
Fractional coordinates of all 4 atoms:
Er (0.8582, 0.5000, 0.7164)  3 Ga 3.05-3.40, 4 Sn 3.14
Sm (0.1364, 0.0000, 0.2728)  4 Ga 3.12, 3 Sn 3.18-3.31
Sn (0.4194, 0.0000, 0.8387)  2 Ga 2.80
Ga (0.5860, 0.5000, 0.1721)  2 Sn 2.80, 1 Er 3.05, 4 Sm 3.12

Name the most stable of them. x.

--- w ---
Compound: SmErTlGa
Source: the Alexandria database
Functional: PBE
Structure: optimized geometry

Computed properties:
Total magnetic moment, μB/cell: 0.00
Density of states at the Fermi level, states/eV/f.u.: 1.71

a b c (Å): 5.2549 5.2549 5.2549
angles (deg): 60.00 60.00 60.00
Last column: nearest neighbours and their distance in Å.
Fractional coordinates of all 4 atoms:
Er (0.0000, 0.0000, 0.0000)  4 Ga 3.22, 4 Tl 3.22
Ga (0.7500, 0.7500, 0.7500)  4 Er 3.22, 4 Sm 3.22
Sm (0.5000, 0.5000, 0.5000)  4 Tl 3.22, 4 Ga 3.22
Tl (0.2500, 0.2500, 0.2500)  4 Er 3.22, 4 Sm 3.22

--- x ---
Compound: SmErTlGa
Source: the Alexandria database
Functional: PBE
Structure: optimized geometry

Computed properties:
Total magnetic moment, μB/cell: 0.00
Density of states at the Fermi level, states/eV/f.u.: 1.90

a b c (Å): 3.6247 3.6247 7.7632
angles (deg): 90.00 90.00 90.00
Last column: nearest neighbours and their distance in Å.
Fractional coordinates of all 4 atoms:
Er (0.0000, 0.0000, 0.3747)  4 Ga 3.09, 4 Tl 3.25
Ga (0.5000, 0.5000, 0.5980)  4 Er 3.09, 4 Sm 3.17
Sm (0.0000, 0.0000, 0.8386)  4 Ga 3.17, 4 Tl 3.35
Tl (0.5000, 0.5000, 0.1166)  4 Er 3.25, 4 Sm 3.35, 4 Tl 3.62

Name the most stable of them. x.

--- w ---
Compound: ErGaSn2
Source: the Alexandria database
Functional: PBE
Structure: optimized geometry

Computed properties:
Total magnetic moment, μB/cell: 0.00
Density of states at the Fermi level, states/eV/f.u.: 3.65

a b c (Å): 4.9360 4.9360 8.1430
angles (deg): 72.36 72.36 60.00
Last column: nearest neighbours and their distance in Å.
Fractional coordinates of all 4 atoms:
Sn (0.1155, 0.1155, 0.6534)  1 Ga 2.64
Sn (0.8845, 0.8845, 0.3466)  1 Ga 2.64
Er (0.5000, 0.5000, 0.5000)  6 Sn 3.08
Ga (0.0000, 0.0000, 0.0000)  2 Sn 2.64

--- x ---
Compound: ErGaSn2
Source: the Alexandria database
Functional: PBE
Structure: optimized geometry

Computed properties:
Total magnetic moment, μB/cell: 0.00
Density of states at the Fermi level, states/eV/f.u.: 1.40

a b c (Å): 4.7045 4.5007 4.5007
angles (deg): 90.00 90.00 90.00
Last column: nearest neighbours and their distance in Å.
Fractional coordinates of all 4 atoms:
Sn (0.0000, 0.5000, 0.0000)  4 Sn 3.18, 4 Er 3.26, 4 Ga 3.26
Sn (0.0000, 0.0000, 0.5000)  4 Sn 3.18, 4 Er 3.26, 4 Ga 3.26
Er (0.5000, 0.5000, 0.5000)  4 Ga 3.18, 8 Sn 3.26
Ga (0.5000, 0.0000, 0.0000)  4 Er 3.18, 8 Sn 3.26

--- y ---
Compound: ErGaSn2
Source: the Alexandria database
Functional: PBE
Structure: optimized geometry

Computed properties:
Total magnetic moment, μB/cell: 0.00
Density of states at the Fermi level, states/eV/f.u.: 2.38

a b c (Å): 4.4660 4.4660 6.8386
angles (deg): 70.94 70.94 60.00
Last column: nearest neighbours and their distance in Å.
Fractional coordinates of all 4 atoms:
Ga (0.4977, 0.4977, 0.5068)  6 Sn 2.94-3.00, 1 Er 3.22
Sn (0.0899, 0.0899, 0.7303)  3 Ga 2.94, 1 Sn 2.95, 3 Er 3.09
Sn (0.2450, 0.2450, 0.2650)  1 Sn 2.95, 3 Ga 3.00, 3 Er 3.08
Er (0.6674, 0.6674, 0.9978)  6 Sn 3.08-3.09, 1 Ga 3.22

--- z ---
Compound: ErGaSn2
Source: the Alexandria database
Functional: PBE
Structure: optimized geometry

Computed properties:
Total magnetic moment, μB/cell: 0.00
Density of states at the Fermi level, states/eV/f.u.: 1.57

a b c (Å): 4.4541 4.4541 9.5421
angles (deg): 90.00 90.00 90.00
Last column: nearest neighbours and their distance in Å.
Fractional coordinates of all 8 atoms:
Ga (0.5000, 0.5000, 0.0000)  4 Sn 2.99, 4 Ga 3.15, 4 Er 3.24
Ga (0.0000, 0.0000, 0.0000)  4 Sn 2.99, 4 Ga 3.15, 4 Er 3.24
Sn (0.0000, 0.5000, 0.7908)  4 Ga 2.99, 4 Er 3.17
Sn (0.0000, 0.0000, 0.5000)  4 Sn 3.15, 4 Er 3.29
Sn (0.5000, 0.5000, 0.5000)  4 Sn 3.15, 4 Er 3.29
Sn (0.5000, 0.0000, 0.2092)  4 Ga 2.99, 4 Er 3.17
Er (0.5000, 0.0000, 0.7534)  8 Sn 3.17-3.29, 4 Ga 3.24
Er (0.0000, 0.5000, 0.2466)  8 Sn 3.17-3.29, 4 Ga 3.24

Name the most stable of them. x.